one:
{
  "formula": "CeErAg4",
  "functional": "GGA-PBE",
  "state": "relaxed",
  "lattice": [[3.509, 0.000, 1.015], [1.913, 5.050, -0.039], [-0.304, -1.356, 7.625]],
  "species": ["Ag", "Ag", "Ag", "Ag", "Ce", "Er"],
  "frac_coords": [[0.849, 0.481, 0.822], [0.326, 0.002, 0.346], [0.674, 0.998, 0.654], [0.151, 0.519, 0.178], [0.000, 0.000, 0.000], [0.500, 0.500, 0.500]],
  "n_ef_per_ev_atom": 1.507
}


two:
{
  "formula": "CeErAg4",
  "functional": "GGA-PBE",
  "state": "relaxed",
  "lattice": [[-3.417, -4.342, -1.476], [2.241, -4.785, -2.188], [0.010, -4.820, 3.078]],
  "species": ["Ag", "Ag", "Ag", "Ag", "Er", "Ce"],
  "frac_coords": [[0.625, 0.126, 0.625], [0.625, 0.625, 0.625], [0.625, 0.625, 0.126], [0.126, 0.625, 0.625], [0.250, 0.250, 0.250], [0.000, 0.000, 0.000]],
  "n_ef_per_ev_atom": 1.296
}


From most stable to least stable, the computed energies give one, two.


one:
{
  "formula": "Ce2EuAg",
  "functional": "GGA-PBE",
  "state": "relaxed",
  "lattice": [[-2.445, -1.687, -2.439], [1.053, -3.449, 1.330], [-6.110, 0.391, 5.853]],
  "species": ["Ce", "Ce", "Eu", "Ag"],
  "frac_coords": [[0.000, 0.000, 0.806], [0.000, 0.000, 0.194], [0.500, 0.500, 0.500], [0.500, 0.500, 0.000]],
  "n_ef_per_ev_atom": 3.567
}


two:
{
  "formula": "Ce2EuAg",
  "functional": "GGA-PBE",
  "state": "relaxed",
  "lattice": [[-1.982, 2.056, 1.621], [-3.191, 0.146, -0.761], [-4.000, -7.709, 8.214]],
  "species": ["Ag", "Ce", "Ce", "Eu"],
  "frac_coords": [[0.500, 0.500, 0.500], [0.093, 0.093, 0.722], [0.907, 0.907, 0.278], [0.000, 0.000, 0.000]],
  "n_ef_per_ev_atom": 2.536
}


From most stable to least stable, the computed energies give one, two.


one:
{
  "formula": "CeAg2F8",
  "functional": "GGA-PBE",
  "state": "relaxed",
  "lattice": [[4.173, 0.000, 0.000], [0.000, 5.683, 0.225], [-2.087, -2.174, 6.266]],
  "species": ["Ag", "Ag", "F", "F", "F", "F", "F", "F", "F", "F", "Ce"],
  "frac_coords": [[0.162, 0.626, 0.324], [0.838, 0.374, 0.676], [0.661, 0.991, 0.322], [0.339, 0.009, 0.678], [0.226, 0.338, 0.451], [0.957, 0.175, 0.914], [0.774, 0.662, 0.549], [0.422, 0.603, 0.845], [0.578, 0.397, 0.155], [0.043, 0.825, 0.086], [0.500, 0.000, 0.000]],
  "n_ef_per_ev_atom": 0.521
}


two:
{
  "formula": "CeAg2F8",
  "functional": "GGA-PBE",
  "state": "relaxed",
  "lattice": [[-2.357, 0.636, 3.415], [2.418, -6.117, 2.806], [3.467, 6.128, 1.253]],
  "species": ["F", "F", "F", "F", "F", "F", "F", "F", "Ag", "Ag", "Ce"],
  "frac_coords": [[0.257, 0.152, 0.305], [0.743, 0.305, 0.154], [0.257, 0.154, 0.848], [0.763, 0.333, 0.667], [0.257, 0.695, 0.846], [0.743, 0.846, 0.152], [0.743, 0.848, 0.695], [0.237, 0.667, 0.333], [0.264, 0.333, 0.667], [0.736, 0.667, 0.333], [0.000, 0.000, 0.000]],
  "n_ef_per_ev_atom": 0.830
}


From most stable to least stable, the computed energies give two, one.


one:
{
  "formula": "CeGa2Ag",
  "functional": "GGA-PBE",
  "state": "relaxed",
  "lattice": [[4.510, 0.000, 0.000], [0.000, 7.155, 0.000], [0.000, 0.000, 10.221]],
  "species": ["Ga", "Ga", "Ga", "Ga", "Ga", "Ga", "Ga", "Ga", "Ag", "Ag", "Ag", "Ag", "Ce", "Ce", "Ce", "Ce"],
  "frac_coords": [[0.250, 0.091, 0.155], [0.750, 0.201, 0.036], [0.250, 0.299, 0.536], [0.750, 0.701, 0.464], [0.750, 0.409, 0.655], [0.250, 0.591, 0.345], [0.250, 0.799, 0.964], [0.750, 0.909, 0.845], [0.750, 0.532, 0.904], [0.250, 0.968, 0.404], [0.250, 0.468, 0.096], [0.750, 0.032, 0.596], [0.250, 0.203, 0.830], [0.750, 0.797, 0.170], [0.750, 0.297, 0.330], [0.250, 0.703, 0.670]],
  "n_ef_per_ev_atom": 1.653
}


two:
{
  "formula": "CeGa2Ag",
  "functional": "GGA-PBE",
  "state": "relaxed",
  "lattice": [[4.340, 0.000, 0.000], [0.000, 4.443, 0.000], [0.000, 0.000, 4.443]],
  "species": ["Ga", "Ga", "Ag", "Ce"],
  "frac_coords": [[0.000, 0.500, 0.000], [0.000, 0.000, 0.500], [0.500, 0.000, 0.000], [0.500, 0.500, 0.500]],
  "n_ef_per_ev_atom": 1.670
}


From most stable to least stable, the computed energies give one, two.


one:
{
  "formula": "Ce2Ga3Ag2",
  "functional": "GGA-PBE",
  "state": "relaxed",
  "lattice": [[-4.365, -0.330, 1.289], [3.194, -4.536, 1.578], [0.896, 5.023, 4.316]],
  "species": ["Ag", "Ag", "Ga", "Ga", "Ga", "Ce", "Ce"],
  "frac_coords": [[0.854, 0.708, 0.749], [0.146, 0.292, 0.251], [0.406, 0.811, 0.573], [0.500, 0.000, 0.000], [0.594, 0.189, 0.427], [0.156, 0.312, 0.771], [0.844, 0.688, 0.229]],
  "n_ef_per_ev_atom": 1.714
}


two:
{
  "formula": "Ce2Ga3Ag2",
  "functional": "GGA-PBE",
  "state": "relaxed",
  "lattice": [[4.268, 0.000, -1.018], [0.000, 7.324, 0.000], [0.070, 0.000, 9.755]],
  "species": ["Ce", "Ce", "Ce", "Ce", "Ga", "Ga", "Ga", "Ga", "Ga", "Ga", "Ag", "Ag", "Ag", "Ag"],
  "frac_coords": [[0.155, 0.250, 0.310], [0.845, 0.750, 0.690], [0.055, 0.750, 0.110], [0.945, 0.250, 0.890], [0.773, 0.250, 0.546], [0.558, 0.423, 0.115], [0.442, 0.923, 0.885], [0.227, 0.750, 0.454], [0.442, 0.577, 0.885], [0.558, 0.077, 0.115], [0.313, 0.056, 0.626], [0.687, 0.556, 0.374], [0.687, 0.944, 0.374], [0.313, 0.444, 0.626]],
  "n_ef_per_ev_atom": 1.734
}


From most stable to least stable, the computed energies give two, one.


one:
{
  "formula": "Ce2Ga2Ag3",
  "functional": "GGA-PBE",
  "state": "relaxed",
  "lattice": [[4.275, 0.000, -1.019], [0.000, 7.171, 0.000], [0.206, 0.000, 10.339]],
  "species": ["Ce", "Ce", "Ce", "Ce", "Ga", "Ga", "Ga", "Ga", "Ag", "Ag", "Ag", "Ag", "Ag", "Ag"],
  "frac_coords": [[0.056, 0.750, 0.113], [0.944, 0.250, 0.887], [0.835, 0.750, 0.670], [0.165, 0.250, 0.330], [0.687, 0.557, 0.375], [0.313, 0.443, 0.625], [0.313, 0.057, 0.625], [0.687, 0.943, 0.375], [0.563, 0.439, 0.126], [0.780, 0.250, 0.559], [0.220, 0.750, 0.441], [0.437, 0.561, 0.874], [0.437, 0.939, 0.874], [0.563, 0.061, 0.126]],
  "n_ef_per_ev_atom": 2.138
}


two:
{
  "formula": "Ce2Ga2Ag3",
  "functional": "GGA-PBE",
  "state": "relaxed",
  "lattice": [[3.153, 0.000, 0.000], [0.000, 4.291, 0.000], [0.000, -2.146, 11.097]],
  "species": ["Ga", "Ga", "Ce", "Ce", "Ag", "Ag", "Ag"],
  "frac_coords": [[0.500, 0.719, 0.438], [0.500, 0.281, 0.562], [0.000, 0.849, 0.698], [0.000, 0.151, 0.302], [0.000, 0.000, 0.000], [0.500, 0.437, 0.874], [0.500, 0.563, 0.126]],
  "n_ef_per_ev_atom": 1.632
}


From most stable to least stable, the computed energies give two, one.


one:
{
  "formula": "CeGa3Ag",
  "functional": "GGA-PBE",
  "state": "relaxed",
  "lattice": [[4.106, -0.009, 1.414], [-0.498, 4.074, 1.418], [0.137, 0.149, 6.240]],
  "species": ["Ga", "Ga", "Ga", "Ce", "Ag"],
  "frac_coords": [[0.152, 0.456, 0.400], [0.793, 0.597, 0.119], [0.653, 0.956, 0.400], [0.386, 0.190, 0.933], [0.023, 0.827, 0.659]],
  "n_ef_per_ev_atom": 1.548
}


two:
{
  "formula": "CeGa3Ag",
  "functional": "GGA-PBE",
  "state": "relaxed",
  "lattice": [[-1.416, 1.669, 3.995], [4.210, -2.782, 2.655], [5.447, 5.439, -2.938]],
  "species": ["Ag", "Ag", "Ga", "Ga", "Ga", "Ga", "Ga", "Ga", "Ce", "Ce"],
  "frac_coords": [[0.455, 0.250, 0.910], [0.545, 0.750, 0.090], [0.142, 0.750, 0.285], [0.858, 0.250, 0.715], [0.295, 0.997, 0.591], [0.295, 0.503, 0.591], [0.705, 0.003, 0.409], [0.705, 0.497, 0.409], [0.906, 0.750, 0.813], [0.094, 0.250, 0.187]],
  "n_ef_per_ev_atom": 1.466
}


three:
{
  "formula": "CeGa3Ag",
  "functional": "GGA-PBE",
  "state": "relaxed",
  "lattice": [[-0.137, -1.773, -3.917], [0.008, -3.919, 1.774], [-5.513, -2.784, -0.909]],
  "species": ["Ce", "Ag", "Ga", "Ga", "Ga"],
  "frac_coords": [[0.000, 0.000, 0.000], [0.750, 0.250, 0.500], [0.388, 0.388, 0.225], [0.612, 0.612, 0.775], [0.250, 0.750, 0.500]],
  "n_ef_per_ev_atom": 1.448
}


From most stable to least stable, the computed energies give three, one, two.


one:
{
  "formula": "CeGaAg4",
  "functional": "GGA-PBE",
  "state": "relaxed",
  "lattice": [[-5.493, 0.653, -0.905], [-2.259, -1.666, -4.852], [-3.370, -4.477, -0.131]],
  "species": ["Ce", "Ag", "Ag", "Ag", "Ag", "Ga"],
  "frac_coords": [[0.250, 0.250, 0.250], [0.625, 0.625, 0.625], [0.625, 0.625, 0.124], [0.124, 0.625, 0.625], [0.625, 0.124, 0.625], [0.000, 0.000, 0.000]],
  "n_ef_per_ev_atom": 1.206
}


two:
{
  "formula": "CeGaAg4",
  "functional": "GGA-PBE",
  "state": "relaxed",
  "lattice": [[-2.789, -2.127, 3.682], [5.866, 0.080, 4.490], [-0.425, 7.371, 0.424]],
  "species": ["Ce", "Ce", "Ag", "Ag", "Ag", "Ag", "Ag", "Ag", "Ag", "Ag", "Ga", "Ga"],
  "frac_coords": [[0.618, 0.250, 0.235], [0.382, 0.750, 0.765], [0.398, 0.250, 0.797], [0.000, 0.500, 0.000], [0.786, 0.934, 0.573], [0.214, 0.066, 0.427], [0.000, 0.000, 0.000], [0.786, 0.566, 0.573], [0.602, 0.750, 0.203], [0.214, 0.434, 0.427], [0.139, 0.750, 0.277], [0.861, 0.250, 0.723]],
  "n_ef_per_ev_atom": 1.594
}


From most stable to least stable, the computed energies give one, two.


one:
{
  "formula": "Ce2Ga3Ag5",
  "functional": "GGA-PBE",
  "state": "relaxed",
  "lattice": [[-1.199, -4.343, 1.061], [3.852, 0.391, 5.957], [-9.440, 6.460, 5.679]],
  "species": ["Ag", "Ag", "Ag", "Ag", "Ag", "Ag", "Ag", "Ag", "Ag", "Ag", "Ce", "Ce", "Ce", "Ce", "Ga", "Ga", "Ga", "Ga", "Ga", "Ga"],
  "frac_coords": [[0.126, 0.236, 0.252], [0.874, 0.736, 0.748], [0.948, 0.050, 0.896], [0.699, 0.404, 0.398], [0.716, 0.015, 0.431], [0.052, 0.550, 0.104], [0.301, 0.904, 0.602], [0.606, 0.957, 0.212], [0.394, 0.457, 0.788], [0.284, 0.515, 0.569], [0.829, 0.237, 0.657], [0.171, 0.737, 0.343], [0.486, 0.753, 0.972], [0.514, 0.253, 0.028], [0.396, 0.062, 0.792], [0.948, 0.451, 0.896], [0.233, 0.201, 0.466], [0.052, 0.951, 0.104], [0.767, 0.701, 0.534], [0.604, 0.562, 0.208]],
  "n_ef_per_ev_atom": 1.354
}


two:
{
  "formula": "Ce2Ga3Ag5",
  "functional": "GGA-PBE",
  "state": "relaxed",
  "lattice": [[6.088, 0.000, 0.000], [3.044, 8.343, -0.523], [3.044, 0.770, 8.324]],
  "species": ["Ga", "Ga", "Ga", "Ga", "Ga", "Ga", "Ag", "Ag", "Ag", "Ag", "Ag", "Ag", "Ag", "Ag", "Ag", "Ag", "Ce", "Ce", "Ce", "Ce"],
  "frac_coords": [[0.870, 0.761, 0.499], [0.130, 0.239, 0.501], [0.250, 0.000, 0.000], [0.630, 0.501, 0.239], [0.750, 0.000, 0.000], [0.370, 0.499, 0.761], [0.508, 0.242, 0.242], [0.609, 0.741, 0.041], [0.008, 0.242, 0.242], [0.992, 0.758, 0.758], [0.492, 0.758, 0.758], [0.109, 0.041, 0.741], [0.391, 0.259, 0.959], [0.250, 0.500, 0.500], [0.891, 0.959, 0.259], [0.750, 0.500, 0.500], [0.130, 0.606, 0.134], [0.370, 0.866, 0.394], [0.630, 0.134, 0.606], [0.870, 0.394, 0.866]],
  "n_ef_per_ev_atom": 1.704
}


From most stable to least stable, the computed energies give one, two.


one:
{
  "formula": "CeGaAgGe",
  "functional": "GGA-PBE",
  "state": "relaxed",
  "lattice": [[4.215, 0.000, 0.000], [0.000, 4.215, 0.000], [0.000, 0.000, 9.958]],
  "species": ["Ag", "Ag", "Ga", "Ga", "Ge", "Ge", "Ce", "Ce"],
  "frac_coords": [[0.000, 0.000, 0.500], [0.500, 0.500, 0.500], [0.500, 0.000, 0.660], [0.000, 0.500, 0.340], [0.500, 0.000, 0.901], [0.000, 0.500, 0.099], [0.000, 0.500, 0.812], [0.500, 0.000, 0.188]],
  "n_ef_per_ev_atom": 1.404
}


two:
{
  "formula": "CeGaAgGe",
  "functional": "GGA-PBE",
  "state": "relaxed",
  "lattice": [[4.890, 0.000, 0.000], [2.445, 4.235, 0.000], [2.445, 1.412, 3.993]],
  "species": ["Ge", "Ce", "Ga", "Ag"],
  "frac_coords": [[0.750, 0.750, 0.750], [0.000, 0.000, 0.000], [0.250, 0.250, 0.250], [0.500, 0.500, 0.500]],
  "n_ef_per_ev_atom": 0.978
}


From most stable to least stable, the computed energies give one, two.


one:
{
  "formula": "Ce3Ag2Hg3",
  "functional": "GGA-PBE",
  "state": "relaxed",
  "lattice": [[-4.534, 1.586, -1.361], [0.037, -4.525, 3.758], [-0.110, 9.522, 11.464]],
  "species": ["Ce", "Ce", "Ce", "Ce", "Ce", "Ce", "Hg", "Hg", "Hg", "Hg", "Hg", "Hg", "Ag", "Ag", "Ag", "Ag"],
  "frac_coords": [[0.912, 0.825, 0.390], [0.088, 0.175, 0.610], [0.732, 0.463, 0.250], [0.088, 0.175, 0.890], [0.268, 0.537, 0.750], [0.912, 0.825, 0.110], [0.390, 0.780, 0.945], [0.390, 0.780, 0.555], [0.427, 0.854, 0.250], [0.573, 0.146, 0.750], [0.610, 0.220, 0.445], [0.610, 0.220, 0.055], [0.220, 0.440, 0.108], [0.780, 0.560, 0.892], [0.220, 0.440, 0.392], [0.780, 0.560, 0.608]],
  "n_ef_per_ev_atom": 1.839
}


two:
{
  "formula": "Ce3Ag2Hg3",
  "functional": "GGA-PBE",
  "state": "relaxed",
  "lattice": [[-1.619, 3.435, 2.781], [-4.533, -1.179, -1.182], [2.784, -6.627, 5.824]],
  "species": ["Ce", "Ce", "Ce", "Ag", "Ag", "Hg", "Hg", "Hg"],
  "frac_coords": [[0.870, 0.370, 0.739], [0.130, 0.630, 0.261], [0.000, 0.000, 0.000], [0.754, 0.755, 0.509], [0.246, 0.245, 0.491], [0.500, 0.500, 0.000], [0.641, 0.141, 0.282], [0.359, 0.859, 0.718]],
  "n_ef_per_ev_atom": 2.307
}


From most stable to least stable, the computed energies give one, two.